DFT (PBE) results for an optimized crystal structure of LaTcN3.

## Properties
Space group: Cm, No. 8
Energy, Ha/atom: -0.3127
Formation energy (no corrections), meV/atom: -455
DOS at the Fermi energy, states/eV/atom: 0.235
Magnetic moment, μB per formula unit: 0.00

Lattice parameters (Å, degrees): 3.9982 7.2513 5.4042 93.09 90.00 106.01
Element x y z (fractional)
1 La 0.9113 0.2903 0.4497
2 Tc 0.5937 0.6549 0.4181
3 N 0.7095 0.8865 0.6058
4 La 0.1959 0.8592 0.9536
5 Tc 0.4741 0.4157 0.0173
6 N 0.7798 0.0272 0.7618
7 N 0.0204 0.5083 0.0797
8 N 0.3579 0.1834 0.1680
9 N 0.0833 0.6342 0.2961
10 N 0.4970 0.4614 0.6673



DFT (PBE) results for an optimized crystal structure of La3TcN5.

## Properties
Space group: I4/mcm, No. 140
Energy, Ha/atom: -0.3101
Formation energy (no corrections), meV/atom: -1019
DOS at the Fermi energy, states/eV/atom: 0.254
Magnetic moment, μB per formula unit: 0.00

Lattice parameters (Å, degrees): 6.9227 6.9227 7.6189 117.02 117.02 90.00
Element x y z (fractional)
1 Tc 0.2500 0.7500 0.5000
2 La 0.1748 0.3252 0.0000
3 N 0.2996 0.7996 0.3038
4 Tc 0.7500 0.2500 0.5000
5 La 0.2500 0.2500 0.5000
6 N 0.7996 0.0042 0.3038
7 N 0.7004 0.2004 0.6962
8 N 0.5000 0.5000 0.0000
9 N 0.9958 0.4958 0.6962
10 N 0.5042 0.2996 0.3038
11 La 0.8252 0.6748 0.0000
12 La 0.3252 0.8252 0.0000
13 N 0.4958 0.7004 0.6962
14 N 0.0042 0.5042 0.3038
15 N 0.2004 0.9958 0.6962
16 N 0.0000 0.0000 0.0000
17 La 0.6748 0.1748 0.0000
18 La 0.7500 0.7500 0.5000



DFT (PBE) results for an optimized crystal structure of LaTcN3.

## Properties
Space group: Fd-3m, No. 227
Energy, Ha/atom: -0.3006
Formation energy (no corrections), meV/atom: -126
DOS at the Fermi energy, states/eV/atom: 0.649
Magnetic moment, μB per formula unit: 0.00

Lattice parameters (Å, degrees): 7.3378 7.3378 7.3378 60.00 60.00 60.00
Element x y z (fractional)
1 N 0.4483 0.0517 0.0517
2 N 0.8017 0.8017 0.1983
3 N 0.0517 0.4483 0.4483
4 N 0.1983 0.1983 0.8017
5 N 0.0517 0.4483 0.0517
6 La 0.6250 0.1250 0.6250
7 La 0.6250 0.6250 0.1250
8 N 0.1983 0.8017 0.1983
9 La 0.6250 0.6250 0.6250
10 N 0.4483 0.4483 0.0517
11 Tc 0.6250 0.1250 0.1250
12 La 0.1250 0.6250 0.6250
13 N 0.4483 0.0517 0.4483
14 N 0.1983 0.8017 0.8017
15 N 0.8017 0.1983 0.1983
16 Tc 0.1250 0.1250 0.1250
17 N 0.0517 0.0517 0.4483
18 N 0.8017 0.1983 0.8017
19 Tc 0.1250 0.1250 0.6250
20 Tc 0.1250 0.6250 0.1250



DFT (PBE) results for an optimized crystal structure of LaTcN4.

## Properties
Space group: I4_1/a, No. 88
Energy, Ha/atom: -0.2969
Formation energy (no corrections), meV/atom: 21
DOS at the Fermi energy, states/eV/atom: 0.502
Magnetic moment, μB per formula unit: 1.99

Lattice parameters (Å, degrees): 5.3519 5.3519 7.3580 111.33 111.33 90.00
Element x y z (fractional)
1 La 0.7500 0.2500 0.5000
2 N 0.5852 0.9514 0.6603
3 N 0.0751 0.7090 0.6603
4 N 0.2910 0.4148 0.3397
5 Tc 0.2500 0.7500 0.5000
6 N 0.6749 0.5410 0.8397
7 N 0.4590 0.8352 0.1603
8 N 0.7014 0.3251 0.1603
9 N 0.0486 0.9249 0.3397
10 Tc 0.5000 0.5000 0.0000
11 La 0.0000 0.0000 0.0000
12 N 0.1648 0.2986 0.8397



DFT (PBE) results for an optimized crystal structure of LaTcN3.

## Properties
Space group: P2/m, No. 10
Energy, Ha/atom: -0.3121
Formation energy (no corrections), meV/atom: -439
DOS at the Fermi energy, states/eV/atom: 0.463
Magnetic moment, μB per formula unit: 0.00

Lattice parameters (Å, degrees): 3.7565 5.9648 5.8894 102.46 90.00 90.00
Element x y z (fractional)
1 N 0.8888 0.5421 0.3418
2 N 0.5624 0.9333 0.3427
3 La 0.0622 0.2602 0.6273
4 N 0.5622 0.1509 0.3408
5 Tc 0.5623 0.7466 0.5970
6 La 0.0623 0.8240 0.0562
7 N 0.5623 0.0421 0.8417
8 N 0.2358 0.5421 0.3417
9 N 0.5623 0.5421 0.8418
10 Tc 0.5623 0.3376 0.0865



DFT (PBE) results for an optimized crystal structure of LaTcN3.

## Properties
Space group: P2/m, No. 10
Energy, Ha/atom: -0.3166
Formation energy (no corrections), meV/atom: -561
DOS at the Fermi energy, states/eV/atom: 0.282
Magnetic moment, μB per formula unit: 0.00

Lattice parameters (Å, degrees): 3.5345 5.7071 7.4817 70.26 89.95 90.01
Element x y z (fractional)
1 La 0.9618 0.6195 0.0318
2 Tc 0.4620 0.1196 0.0409
3 N 0.4623 0.9421 0.8418
4 N 0.4614 0.7373 0.2449
5 N 0.4620 0.6888 0.4202
6 N 0.4623 0.4421 0.8418
7 Tc 0.4625 0.7646 0.6426
8 N 0.4626 0.1954 0.2633
9 La 0.9627 0.2648 0.6516
10 N 0.4632 0.1469 0.4386